[1]
Zn2RuW after structural relaxation, computed with PBE.

Structure (POSCAR):
```
Zn2RuW
1.0
-1.549 2.211 4.215
1.549 -2.211 4.215
1.549 2.211 -4.215
Zn Ru W
2 1 1
Direct
0.000 0.000 0.000
0.761 0.261 0.500
0.255 0.755 0.500
0.501 0.501 0.000
```

space-group type	Imm2, No. 44
E_form	0.18	eV/atom
excess energy over the best structure of this formula in the dataset	162.1	meV/atom

---

[2]
LaNb2Bi2 after structural relaxation, computed with PBE.

Structure (POSCAR):
```
LaNb2Bi2
1.0
-2.726 2.726 4.559
2.726 -2.726 4.559
2.726 2.726 -4.559
La Nb Bi
1 2 2
Direct
0.000 0.000 0.000
0.376 0.376 0.000
0.624 0.624 0.000
0.250 0.750 0.500
0.750 0.250 0.500
```

space-group type	I4/mmm, No. 139
E_form	-0.05	eV/atom
excess energy over the best structure of this formula in the dataset	171.1	meV/atom

---

[3]
TlW after structural relaxation, computed with PBE.

Structure (POSCAR):
```
TlW
1.0
5.735 0.000 0.000
0.000 7.529 0.000
0.000 0.000 7.722
Tl W
8 8
Direct
0.089 0.214 0.221
0.144 0.440 0.919
0.356 0.560 0.419
0.411 0.786 0.721
0.589 0.286 0.779
0.644 0.060 0.081
0.856 0.940 0.581
0.911 0.714 0.279
0.110 0.024 0.897
0.157 0.230 0.582
0.343 0.770 0.082
0.390 0.976 0.397
0.610 0.476 0.103
0.657 0.270 0.418
0.843 0.730 0.918
0.890 0.524 0.603
```

space-group type	P2_12_12_1, No. 19
E_form	1.04	eV/atom
excess energy over the best structure of this formula in the dataset	418.9	meV/atom

---

[4]
ScHgRh2 after structural relaxation, computed with PBE.

Structure (POSCAR):
```
ScHgRh2
1.0
-1.983 1.983 4.304
1.983 -1.983 4.304
1.983 1.983 -4.304
Sc Hg Rh
1 1 2
Direct
0.000 0.000 0.000
0.250 0.750 0.500
0.500 0.500 0.000
0.750 0.250 0.500
```

space-group type	I-4m2, No. 119
E_form	-0.43	eV/atom

---

[5]
Ti5Nb2Al after structural relaxation, computed with PBE.

Structure (POSCAR):
```
Ti5Nb2Al
1.0
-3.528 3.528 5.586
3.528 -3.528 5.586
3.528 3.528 -5.586
Ti Nb Al
10 4 2
Direct
0.000 0.000 0.000
0.016 0.516 0.206
0.190 0.984 0.500
0.310 0.810 0.794
0.484 0.690 0.500
0.500 0.500 0.000
0.516 0.310 0.500
0.690 0.190 0.206
0.810 0.016 0.500
0.984 0.484 0.794
0.159 0.341 0.500
0.341 0.841 0.182
0.659 0.159 0.818
0.841 0.659 0.500
0.250 0.250 0.000
0.750 0.750 0.000
```

space-group type	I4/mcm, No. 140
E_form	0.02	eV/atom

---

[6]
Cd2TeAs2 after structural relaxation, computed with PBE.

Structure (POSCAR):
```
Cd2TeAs2
1.0
-2.151 2.151 6.591
2.151 -2.151 6.591
2.151 2.151 -6.591
Cd Te As
2 1 2
Direct
0.250 0.750 0.500
0.750 0.250 0.500
0.000 0.000 0.000
0.395 0.395 0.000
0.605 0.605 0.000
```

space-group type	I4/mmm, No. 139
E_form (uncorrected)	24.7	kJ/mol of atoms
excess energy over the best structure of this formula in the dataset	190.8	meV/atom

---

[7]
LaNd2Sm after structural relaxation, computed with PBE.

Structure (POSCAR):
```
LaNd2Sm
1.0
0.000 4.144 4.144
4.144 0.000 4.144
4.144 4.144 0.000
La Nd Sm
1 2 1
Direct
0.000 0.000 0.000
0.250 0.250 0.250
0.750 0.750 0.750
0.500 0.500 0.500
```

space-group type	Fm-3m, No. 225
E_form	0.14	eV/atom
excess energy over the best structure of this formula in the dataset	121.7	meV/atom

---

[8]
Tm2Ga4Pt3Au after structural relaxation, computed with PBE.

Structure (POSCAR):
```
Tm2Ga4Pt3Au
1.0
4.148 0.000 0.000
0.000 4.148 0.000
0.000 0.000 10.937
Tm Ga Pt Au
2 4 3 1
Direct
0.000 0.500 0.241
0.500 0.000 0.759
0.000 0.000 0.000
0.000 0.500 0.638
0.500 0.000 0.362
0.500 0.500 0.000
0.000 0.500 0.862
0.500 0.000 0.138
0.500 0.500 0.500
0.000 0.000 0.500
```

space-group type	P-4m2, No. 115
E_form	-0.83	eV/atom

---

[9]
TiInCuS2 after structural relaxation, computed with PBE.

Structure (POSCAR):
```
TiInCuS2
1.0
4.846 0.000 0.000
0.000 4.846 0.000
0.000 0.000 5.837
Ti In Cu S
1 1 1 2
Direct
0.000 0.000 0.000
0.500 0.500 0.500
0.000 0.000 0.500
0.000 0.500 0.000
0.500 0.000 0.000
```

space-group type	P4/mmm, No. 123
E_form (uncorrected)	-8.9	kJ/mol of atoms

---

[10]
ZnCr2Ag after structural relaxation, computed with PBE.

Structure (POSCAR):
```
ZnCr2Ag
1.0
-3.516 3.516 2.431
3.516 -3.516 2.431
3.516 3.516 -2.431
Zn Cr Ag
2 4 2
Direct
0.000 0.000 0.000
0.750 0.250 0.500
0.112 0.625 0.987
0.375 0.362 0.487
0.638 0.125 0.013
0.875 0.888 0.513
0.250 0.750 0.500
0.500 0.500 0.000
```

space-group type	I-42d, No. 122
E_form	1.03	eV/atom

---

[11]
Sr2Al4InAu3 after structural relaxation, computed with PBE.

Structure (POSCAR):
```
Sr2Al4InAu3
1.0
4.497 0.000 0.000
0.000 4.497 0.000
0.000 0.000 11.026
Sr Al In Au
2 4 1 3
Direct
0.000 0.500 0.245
0.500 0.000 0.755
0.000 0.000 0.000
0.000 0.500 0.645
0.500 0.000 0.355
0.500 0.500 0.000
0.000 0.000 0.500
0.000 0.500 0.877
0.500 0.000 0.123
0.500 0.500 0.500
```

space-group type	P-4m2, No. 115
E_form	-0.56	eV/atom

---

[12]
Ac2Np2S7 after structural relaxation, computed with PBE.

Structure (POSCAR):
```
Ac2Np2S7
1.0
0.000 6.734 6.734
6.734 0.000 6.734
6.734 6.734 0.000
Ac Np S
4 4 14
Direct
0.000 0.000 0.000
0.000 0.000 0.500
0.000 0.500 0.000
0.500 0.000 0.000
0.000 0.500 0.500
0.500 0.000 0.500
0.500 0.500 0.000
0.500 0.500 0.500
0.125 0.125 0.125
0.158 0.158 0.592
0.158 0.592 0.158
0.158 0.592 0.592
0.408 0.408 0.842
0.408 0.842 0.408
0.408 0.842 0.842
0.592 0.158 0.158
0.592 0.158 0.592
0.592 0.592 0.158
0.842 0.408 0.408
0.842 0.408 0.842
0.842 0.842 0.408
0.875 0.875 0.875
```

space-group type	Fd-3m, No. 227
E_form (uncorrected)	-161.7	kJ/mol of atoms
excess energy over the best structure of this formula in the dataset	0.0	meV/atom

---

[13]
RbSc2Pd after structural relaxation, computed with PBE.

Structure (POSCAR):
```
RbSc2Pd
1.0
-3.440 3.440 7.407
3.440 -3.440 7.407
3.440 3.440 -7.407
Rb Sc Pd
2 4 2
Direct
0.375 0.625 0.750
0.625 0.375 0.250
0.000 0.000 0.000
0.000 0.000 0.500
0.000 0.500 0.000
0.500 0.000 0.500
0.125 0.875 0.250
0.875 0.125 0.750
```

space-group type	I4_1/amd, No. 141
E_form	0.44	eV/atom
excess energy over the best structure of this formula in the dataset	73.0	meV/atom

---

[14]
Pr5SmIn2 after structural relaxation, computed with PBE.

Structure (POSCAR):
```
Pr5SmIn2
1.0
7.088 0.000 0.000
0.000 14.176 0.000
0.000 0.000 5.006
Pr Sm In
10 2 4
Direct
0.000 0.000 0.000
0.002 0.251 0.000
0.250 0.376 0.500
0.250 0.876 0.500
0.498 0.751 0.000
0.500 0.500 0.000
0.502 0.249 0.000
0.750 0.124 0.500
0.750 0.624 0.500
0.998 0.749 0.000
0.000 0.500 0.000
0.500 0.000 0.000
0.247 0.624 0.500
0.253 0.124 0.500
0.747 0.876 0.500
0.753 0.376 0.500
```

space-group type	Pbam, No. 55
E_form	-0.28	eV/atom

---

[15]
MnPRh2 after structural relaxation, computed with PBE.

Structure (POSCAR):
```
MnPRh2
1.0
2.867 0.000 0.000
0.000 2.867 0.000
0.000 0.000 6.713
Mn P Rh
1 1 2
Direct
0.000 0.000 0.000
0.000 0.000 0.500
0.500 0.500 0.286
0.500 0.500 0.714
```

space-group type	P4/mmm, No. 123
E_form	-0.30	eV/atom

---

[16]
TbPr4Ho10 after structural relaxation, computed with PBE.

Structure (POSCAR):
```
TbPr4Ho10
1.0
-5.646 5.646 3.992
5.646 -5.646 3.992
5.646 5.646 -3.992
Tb Pr Ho
1 4 10
Direct
0.000 0.000 0.000
0.227 0.227 0.455
0.227 0.773 0.000
0.773 0.227 0.000
0.773 0.773 0.545
0.086 0.294 0.792
0.250 0.750 0.500
0.294 0.086 0.792
0.294 0.502 0.208
0.498 0.706 0.792
0.502 0.294 0.208
0.706 0.498 0.792
0.706 0.914 0.208
0.750 0.250 0.500
0.914 0.706 0.208
```

space-group type	I4/mmm, No. 139
E_form	0.27	eV/atom

---

[17]
Cs2BeGaBr6 after structural relaxation, computed with PBE.

Structure (POSCAR):
```
Cs2BeGaBr6
1.0
-3.741 3.741 5.531
3.741 -3.741 5.531
3.741 3.741 -5.531
Cs Be Ga Br
2 1 1 6
Direct
0.250 0.750 0.500
0.750 0.250 0.500
0.000 0.000 0.000
0.500 0.500 0.000
0.228 0.228 0.456
0.228 0.772 0.000
0.258 0.258 0.000
0.742 0.742 0.000
0.772 0.228 0.000
0.772 0.772 0.544
```

space-group type	I4/mmm, No. 139
E_form (uncorrected)	-103.8	kJ/mol of atoms

---

[18]
NiBiH2 after structural relaxation, computed with PBE.

Structure (POSCAR):
```
NiBiH2
1.0
0.000 2.853 2.853
2.853 0.000 2.853
2.853 2.853 0.000
Ni Bi H
1 1 2
Direct
0.000 0.000 0.000
0.500 0.500 0.500
0.250 0.250 0.250
0.750 0.750 0.750
```

space-group type	Fm-3m, No. 225
excess energy over the best structure of this formula in the dataset	534.7	meV/atom

---

[19]
RbSm3F10 after structural relaxation, computed with PBE.

Structure (POSCAR):
```
RbSm3F10
1.0
0.000 6.004 6.004
6.004 0.000 6.004
6.004 6.004 0.000
Rb Sm F
2 6 20
Direct
0.250 0.250 0.250
0.750 0.750 0.750
0.240 0.240 0.760
0.240 0.760 0.240
0.240 0.760 0.760
0.760 0.240 0.240
0.760 0.240 0.760
0.760 0.760 0.240
0.111 0.111 0.111
0.111 0.111 0.668
0.111 0.668 0.111
0.171 0.500 0.500
0.171 0.500 0.829
0.171 0.829 0.500
0.332 0.889 0.889
0.500 0.171 0.500
0.500 0.171 0.829
0.500 0.500 0.171
0.500 0.500 0.829
0.500 0.829 0.171
0.500 0.829 0.500
0.668 0.111 0.111
0.829 0.171 0.500
0.829 0.500 0.171
0.829 0.500 0.500
0.889 0.332 0.889
0.889 0.889 0.332
0.889 0.889 0.889
```

space-group type	Fm-3m, No. 225
E_form (uncorrected)	-382.2	kJ/mol of atoms

---

[20]
Zr2CdPd2 after structural relaxation, computed with PBE.

Structure (POSCAR):
```
Zr2CdPd2
1.0
-1.896 1.896 7.344
1.896 -1.896 7.344
1.896 1.896 -7.344
Zr Cd Pd
2 1 2
Direct
0.112 0.112 0.000
0.888 0.888 0.000
0.500 0.500 0.000
0.250 0.750 0.500
0.750 0.250 0.500
```

space-group type	I4/mmm, No. 139
E_form	-0.15	eV/atom

---

[21]
TmBeRh3 after structural relaxation, computed with PBE.

Structure (POSCAR):
```
TmBeRh3
1.0
4.232 0.000 0.000
0.000 4.232 0.000
0.000 0.000 4.232
Tm Be Rh
1 1 3
Direct
0.000 0.000 0.000
0.500 0.500 0.500
0.000 0.500 0.500
0.500 0.000 0.500
0.500 0.500 0.000
```

space-group type	Pm-3m, No. 221
E_form	-0.60	eV/atom

---

[22]
Ho2AlV after structural relaxation, computed with PBE.

Structure (POSCAR):
```
Ho2AlV
1.0
1.639 0.946 10.539
-1.639 0.946 10.539
0.000 -1.893 10.539
Ho Al V
2 1 1
Direct
0.091 0.091 0.091
0.909 0.909 0.909
0.500 0.500 0.500
0.000 0.000 0.000
```

space-group type	R-3m, No. 166
E_form	0.50	eV/atom
excess energy over the best structure of this formula in the dataset	544.3	meV/atom

---

[23]
NaPrNd2 after structural relaxation, computed with PBE.

Structure (POSCAR):
```
NaPrNd2
1.0
3.620 0.000 0.000
0.000 3.620 0.000
0.000 0.000 10.959
Na Pr Nd
1 1 2
Direct
0.000 0.000 0.000
0.000 0.000 0.500
0.500 0.500 0.264
0.500 0.500 0.736
```

space-group type	P4/mmm, No. 123
E_form	0.10	eV/atom
excess energy over the best structure of this formula in the dataset	0.0	meV/atom

---

| no. | V (Å³ per atom) |
| --- | --- |
| 1 | 14.44 |
| 2 | 27.10 |
| 3 | 20.84 |
| 4 | 16.92 |
| 5 | 17.38 |
| 6 | 24.40 |
| 7 | 35.58 |
| 8 | 18.82 |
| 9 | 27.42 |
| 10 | 15.03 |
| 11 | 22.30 |
| 12 | 27.77 |
| 13 | 43.82 |
| 14 | 31.44 |
| 15 | 13.79 |
| 16 | 33.93 |
| 17 | 30.96 |
| 18 | 11.61 |
| 19 | 15.46 |
| 20 | 21.12 |
| 21 | 15.15 |
| 22 | 24.52 |
| 23 | 35.90 |